# 1
DFT (PBE) results for a relaxed PaSeF crystal.

Cell lengths 4.6265, 4.6265, 4.6265 Å; angles 60.00, 60.00, 60.00 degrees
Positions (direct):
Pa (0.2500, 0.2500, 0.2500)
Se (0.0000, 0.0000, 0.0000)
F (0.5000, 0.5000, 0.5000)

Results
- space group = F-43m (216)
- excess energy over the best structure of this formula in the dataset (eV/f.u.) = 1.28
- formation energy (no corrections) (meV/atom) = -1823


# 2
DFT (PBE) results for a relaxed PaSeF2 crystal.

Cell lengths 3.1129, 3.1129, 10.7863 Å; angles 81.70, 81.70, 60.00 degrees
Positions (direct):
F (0.8842, 0.8842, 0.3474)
F (0.1158, 0.1158, 0.6526)
Se (0.0000, 0.0000, 0.0000)
Pa (0.5000, 0.5000, 0.5000)

Results
- space group = R-3m (166)
- excess energy over the best structure of this formula in the dataset (eV/f.u.) = 3.23
- formation energy (no corrections) (meV/atom) = -1832


# 3
DFT (PBE) results for a relaxed PaSeF2 crystal.

Cell lengths 3.9332, 5.5754, 4.6367 Å; angles 126.95, 90.00, 90.00 degrees
Positions (direct):
F (0.0000, 0.6636, 0.3270)
F (0.0000, 0.3364, 0.6730)
Se (0.5000, 0.0000, 0.0000)
Pa (0.5000, 0.5000, 0.0000)

Results
- space group = Cmmm (65)
- excess energy over the best structure of this formula in the dataset (eV/f.u.) = 0.00
- formation energy (no corrections) (meV/atom) = -2640